(1)
A relaxed FeAg2Sb crystal, computed with GGA-PBE.

Properties
* symmetry: Pmmm, No. 47
* formation energy (no corrections): 356 meV per atom

```
data_FeAg2Sb
_symmetry_space_group_name_H-M 'P 1'
_symmetry_Int_Tables_number 1
_cell_length_a 3.154
_cell_length_b 4.154
_cell_length_c 5.688
_cell_angle_alpha 90.00
_cell_angle_beta 90.00
_cell_angle_gamma 90.00
loop_
_symmetry_equiv_pos_as_xyz
'x,y,z'
loop_
_atom_site_label
_atom_site_fract_x
_atom_site_fract_y
_atom_site_fract_z
_atom_site_occupancy
Fe1 0.000 0.000 0.000 1
Ag1 0.500 0.500 0.235 1
Ag2 0.500 0.500 0.765 1
Sb1 0.000 0.000 0.500 1
```

=====

(2)
A relaxed Ac4PmRh4 crystal, computed with GGA-PBE.

Properties
* calculated formation energy: -0.620 eV per atom
* symmetry: C2/m, No. 12

```
data_Ac4PmRh4
_symmetry_space_group_name_H-M 'P 1'
_symmetry_Int_Tables_number 1
_cell_length_a 7.326
_cell_length_b 7.326
_cell_length_c 10.313
_cell_angle_alpha 118.35
_cell_angle_beta 118.35
_cell_angle_gamma 34.04
loop_
_symmetry_equiv_pos_as_xyz
'x,y,z'
loop_
_atom_site_label
_atom_site_fract_x
_atom_site_fract_y
_atom_site_fract_z
_atom_site_occupancy
Ac1 0.108 0.108 0.392 1
Ac2 0.301 0.301 0.191 1
Ac3 0.699 0.699 0.809 1
Ac4 0.892 0.892 0.608 1
Pm1 0.500 0.500 0.000 1
Rh1 0.090 0.090 0.893 1
Rh2 0.290 0.290 0.700 1
Rh3 0.710 0.710 0.300 1
Rh4 0.910 0.910 0.107 1
```

=====

(3)
A relaxed KTaO3 crystal, computed with GGA-PBE.

Properties
* symmetry: Fd-3m, No. 227
* formation energy (no corrections): -2639 meV per atom

```
data_KTaO3
_symmetry_space_group_name_H-M 'P 1'
_symmetry_Int_Tables_number 1
_cell_length_a 7.553
_cell_length_b 7.553
_cell_length_c 7.553
_cell_angle_alpha 60.00
_cell_angle_beta 60.00
_cell_angle_gamma 60.00
loop_
_symmetry_equiv_pos_as_xyz
'x,y,z'
loop_
_atom_site_label
_atom_site_fract_x
_atom_site_fract_y
_atom_site_fract_z
_atom_site_occupancy
K1 0.000 0.000 0.000 1
K2 0.000 0.000 0.500 1
K3 0.000 0.500 0.000 1
K4 0.500 0.000 0.000 1
Ta1 0.000 0.500 0.500 1
Ta2 0.500 0.000 0.500 1
Ta3 0.500 0.500 0.000 1
Ta4 0.500 0.500 0.500 1
O1 0.187 0.187 0.563 1
O2 0.187 0.563 0.187 1
O3 0.187 0.563 0.563 1
O4 0.437 0.437 0.813 1
O5 0.437 0.813 0.437 1
O6 0.437 0.813 0.813 1
O7 0.563 0.187 0.187 1
O8 0.563 0.187 0.563 1
O9 0.563 0.563 0.187 1
O10 0.813 0.437 0.437 1
O11 0.813 0.437 0.813 1
O12 0.813 0.813 0.437 1
```

=====

(4)
A relaxed BaPrHgTe3 crystal, computed with GGA-PBE.

Properties
* symmetry: P2_1/m, No. 11
* formation energy (no corrections): -1181 meV per atom

```
data_BaPrHgTe3
_symmetry_space_group_name_H-M 'P 1'
_symmetry_Int_Tables_number 1
_cell_length_a 8.990
_cell_length_b 4.568
_cell_length_c 11.091
_cell_angle_alpha 90.00
_cell_angle_beta 104.94
_cell_angle_gamma 90.00
loop_
_symmetry_equiv_pos_as_xyz
'x,y,z'
loop_
_atom_site_label
_atom_site_fract_x
_atom_site_fract_y
_atom_site_fract_z
_atom_site_occupancy
Ba1 0.236 0.250 0.289 1
Ba2 0.764 0.750 0.711 1
Pr1 0.325 0.750 0.832 1
Pr2 0.675 0.250 0.168 1
Hg1 0.104 0.250 0.564 1
Hg2 0.896 0.750 0.436 1
Te1 0.074 0.250 0.828 1
Te2 0.346 0.750 0.548 1
Te3 0.416 0.750 0.132 1
Te4 0.584 0.250 0.868 1
Te5 0.654 0.250 0.452 1
Te6 0.926 0.750 0.172 1
```

=====

(5)
A relaxed La2Dy8Tm3 crystal, computed with GGA-PBE.

Properties
* calculated formation energy: 0.236 eV per atom
* symmetry: Cmmm, No. 65

```
data_La2Dy8Tm3
_symmetry_space_group_name_H-M 'P 1'
_symmetry_Int_Tables_number 1
_cell_length_a 11.219
_cell_length_b 11.219
_cell_length_c 5.477
_cell_angle_alpha 90.00
_cell_angle_beta 90.00
_cell_angle_gamma 140.33
loop_
_symmetry_equiv_pos_as_xyz
'x,y,z'
loop_
_atom_site_label
_atom_site_fract_x
_atom_site_fract_y
_atom_site_fract_z
_atom_site_occupancy
La1 0.240 0.760 0.000 1
La2 0.760 0.240 0.000 1
Dy1 0.124 0.876 0.500 1
Dy2 0.184 0.392 0.000 1
Dy3 0.342 0.658 0.500 1
Dy4 0.392 0.184 0.000 1
Dy5 0.608 0.816 0.000 1
Dy6 0.658 0.342 0.500 1
Dy7 0.816 0.608 0.000 1
Dy8 0.876 0.124 0.500 1
Tm1 0.000 0.000 0.000 1
Tm2 0.287 0.287 0.500 1
Tm3 0.713 0.713 0.500 1
```

=====

(6)
A relaxed NaLi2H8Pd3 crystal, computed with GGA-PBE.

Properties
* symmetry: R3m, No. 160

```
data_NaLi2H8Pd3
_symmetry_space_group_name_H-M 'P 1'
_symmetry_Int_Tables_number 1
_cell_length_a 5.683
_cell_length_b 5.683
_cell_length_c 5.683
_cell_angle_alpha 61.62
_cell_angle_beta 61.62
_cell_angle_gamma 61.62
loop_
_symmetry_equiv_pos_as_xyz
'x,y,z'
loop_
_atom_site_label
_atom_site_fract_x
_atom_site_fract_y
_atom_site_fract_z
_atom_site_occupancy
Na1 0.000 0.000 0.000 1
Li1 0.237 0.237 0.237 1
Li2 0.621 0.621 0.621 1
H1 0.373 0.373 0.816 1
H2 0.373 0.816 0.373 1
H3 0.386 0.386 0.386 1
H4 0.447 0.866 0.866 1
H5 0.816 0.373 0.373 1
H6 0.847 0.847 0.847 1
H7 0.866 0.447 0.866 1
H8 0.866 0.866 0.447 1
Pd1 0.123 0.621 0.621 1
Pd2 0.621 0.123 0.621 1
Pd3 0.621 0.621 0.123 1
```

=====

The mass density results, record by record, are as follows: 8.76; 9.04; 5.84; 6.50; 7.87; 4.50 g cm⁻³.
The E results, record by record, are as follows: -16.86; -56.17; -41.02; -23.51; -57.02; -50.43 eV per formula unit.
The M_tot results, record by record, are as follows: 3.01; 0.00; 0.00; 0.00; 0.00; 0.00 μB per cell.